DFT (PBE+U) results for a relaxed structure of AlNiH16NO6F6.

Values from the calculation:
**DFT total energy**: -5.007 eV/atom
**Space-group type**: P2_1/c, No. 14

Lattice parameters (Å, degrees): 6.5758 12.5890 12.9026 95.05 90.00 90.00
With the nearest neighbours (Å) after each atom.
Element x y z (fractional)
H 0.2843 0.5681 0.3095  1 O 0.99
H 0.6024 0.0245 0.6321  1 O 0.99
H 0.1693 0.2293 0.6115  1 O 0.99
H 0.9669 0.7291 0.6047  1 O 0.99
H 0.8726 0.8445 0.6379  1 O 1.00
H 0.3092 0.8321 0.4936  1 O 1.00
H 0.4052 0.5764 0.6053  1 N 1.04
H 0.8307 0.7707 0.3885  1 O 0.99
H 0.2502 0.3505 0.6089  1 O 0.99
H 0.9052 0.4236 0.8947  1 N 1.04
H 0.0408 0.6902 0.1824  1 N 1.03
H 0.7325 0.2851 0.0342  1 O 1.00
H 0.4585 0.5685 0.2210  1 O 0.99
H 0.8092 0.1679 0.0064  1 O 1.00
H 0.3481 0.3876 0.3708  1 N 1.03
H 0.3976 0.9755 0.3679  1 O 0.99
H 0.9998 0.3153 0.9450  1 N 1.04
H 0.0980 0.8570 0.3021  1 O 1.00
H 0.8641 0.9649 0.8782  1 O 0.99
H 0.7157 0.4319 0.6905  1 O 0.99
H 0.7675 0.2851 0.5342  1 O 1.00
H 0.8481 0.6124 0.1292  1 N 1.03
H 0.7502 0.6495 0.8911  1 O 0.99
H 0.3641 0.0351 0.6218  1 O 0.99
H 0.9020 0.1430 0.6979  1 O 1.00
H 0.1274 0.1555 0.3621  1 O 1.00
H 0.2325 0.7149 0.4658  1 O 1.00
H 0.6519 0.6124 0.6292  1 N 1.03
H 0.2842 0.8725 0.6947  1 O 0.99
H 0.5980 0.1430 0.1979  1 O 1.00
H 0.4592 0.6902 0.6824  1 N 1.03
H 0.5415 0.4315 0.7790  1 O 0.99
H 0.6274 0.8445 0.1379  1 O 1.00
H 0.4998 0.6847 0.5550  1 N 1.04
H 0.2675 0.7149 0.9658  1 O 1.00
H 0.0948 0.5764 0.1053  1 N 1.04
H 0.1359 0.0351 0.1218  1 O 0.99
H 0.5331 0.7291 0.1047  1 O 0.99
H 0.6908 0.1679 0.5064  1 O 1.00
H 0.5948 0.4236 0.3947  1 N 1.04
H 0.1024 0.9755 0.8679  1 O 0.99
H 0.4669 0.2709 0.8953  1 O 0.99
H 0.2158 0.8725 0.1947  1 O 0.99
H 0.1519 0.3876 0.8708  1 N 1.03
H 0.5408 0.3098 0.3176  1 N 1.03
H 0.6693 0.7707 0.8885  1 O 0.99
H 0.2498 0.3505 0.1089  1 O 0.99
H 0.9585 0.4315 0.2790  1 O 0.99
H 0.0331 0.2709 0.3953  1 O 0.99
H 0.3307 0.2293 0.1115  1 O 0.99
H 0.7843 0.4319 0.1905  1 O 0.99
H 0.4020 0.8570 0.8021  1 O 1.00
H 0.1908 0.8321 0.9936  1 O 1.00
H 0.0415 0.5685 0.7210  1 O 0.99
H 0.0002 0.6847 0.0550  1 N 1.04
H 0.7158 0.1275 0.3053  1 O 0.99
H 0.8976 0.0245 0.1321  1 O 0.99
H 0.2157 0.5681 0.8095  1 O 0.99
H 0.3726 0.1555 0.8621  1 O 1.00
H 0.7498 0.6495 0.3911  1 O 0.99
H 0.9592 0.3098 0.8176  1 N 1.03
H 0.5002 0.3153 0.4450  1 N 1.04
H 0.7842 0.1275 0.8053  1 O 0.99
H 0.6359 0.9649 0.3782  1 O 0.99
F 0.3753 0.4844 0.8698  2 H 1.69-1.72, 1 Al 1.86
F 0.9659 0.8814 0.4096  2 H 1.64-1.65, 1 Al 1.83
F 0.6247 0.5156 0.1302  2 H 1.69-1.72, 1 Al 1.86
F 0.2568 0.4720 0.0606  2 H 1.70-1.75, 1 Al 1.83
F 0.7955 0.0683 0.4313  2 H 1.67-1.76, 1 Al 1.86
F 0.4420 0.6424 0.0105  2 H 1.60-1.67
F 0.4659 0.1186 0.0904  2 H 1.64-1.65, 1 Al 1.83
F 0.9420 0.3576 0.4895  2 H 1.60-1.67
F 0.7568 0.5280 0.4394  2 H 1.70-1.75, 1 Al 1.83
F 0.2045 0.9317 0.5687  2 H 1.67-1.76, 1 Al 1.86
F 0.5580 0.3576 0.9895  2 H 1.60-1.67
F 0.3071 0.0473 0.9131  2 H 1.62-1.70
F 0.7432 0.5280 0.9394  2 H 1.70-1.75, 1 Al 1.83
F 0.1929 0.0473 0.4131  2 H 1.62-1.70
F 0.1247 0.4844 0.3698  2 H 1.69-1.72, 1 Al 1.86
F 0.6929 0.9527 0.0869  2 H 1.62-1.70
F 0.2955 0.9317 0.0687  2 H 1.67-1.76, 1 Al 1.86
F 0.5341 0.8814 0.9096  2 H 1.64-1.65, 1 Al 1.83
F 0.8071 0.9527 0.5869  2 H 1.62-1.70
F 0.2432 0.4720 0.5606  2 H 1.70-1.75, 1 Al 1.83
F 0.8753 0.5156 0.6302  2 H 1.69-1.72, 1 Al 1.86
F 0.0580 0.6424 0.5105  2 H 1.60-1.67
F 0.0341 0.1186 0.5904  2 H 1.64-1.65, 1 Al 1.83
F 0.7045 0.0683 0.9313  2 H 1.67-1.76, 1 Al 1.86
N 0.9939 0.6401 0.1190  4 H 1.03-1.04
N 0.5061 0.6401 0.6190  4 H 1.03-1.04
N 0.0061 0.3599 0.8810  4 H 1.03-1.04
N 0.4939 0.3599 0.3810  4 H 1.03-1.04
Ni 0.9654 0.2297 0.1926  6 O 2.06-2.13
Ni 0.0346 0.7703 0.8074  6 O 2.06-2.13
Ni 0.4654 0.7703 0.3074  6 O 2.06-2.13
Ni 0.5346 0.2297 0.6926  6 O 2.06-2.13
O 0.5978 0.7733 0.1628  2 H 0.99-1.00
O 0.3151 0.8211 0.7459  2 H 0.99-1.00
O 0.5166 0.9327 0.3414  2 H 0.99
O 0.7570 0.7146 0.8534  2 H 0.99
O 0.2430 0.2854 0.1466  2 H 0.99
O 0.8703 0.3863 0.2311  2 H 0.99
O 0.2570 0.2854 0.6466  2 H 0.99
O 0.8151 0.1789 0.7541  2 H 0.99-1.00
O 0.4834 0.0673 0.6586  2 H 0.99
O 0.6297 0.3863 0.7311  2 H 0.99
O 0.6849 0.1789 0.2541  2 H 0.99-1.00
O 0.8522 0.2378 0.0424  2 H 1.00
O 0.1849 0.8211 0.2459  2 H 0.99-1.00
O 0.9834 0.9327 0.8414  2 H 0.99
O 0.9022 0.7733 0.6628  2 H 0.99-1.00
O 0.1297 0.6137 0.7689  2 H 0.99
O 0.6478 0.2378 0.5424  2 H 1.00
O 0.3703 0.6137 0.2689  2 H 0.99
O 0.0978 0.2267 0.3372  2 H 0.99-1.00
O 0.1478 0.7622 0.9576  2 H 1.00
O 0.4022 0.2267 0.8372  2 H 0.99-1.00
O 0.0166 0.0673 0.1586  2 H 0.99
O 0.3522 0.7622 0.4576  2 H 1.00
O 0.7430 0.7146 0.3534  2 H 0.99
Al 0.5000 0.0000 0.0000  6 F 1.83-1.86
Al 0.0000 0.5000 0.5000  6 F 1.83-1.86
Al 0.0000 0.0000 0.5000  6 F 1.83-1.86
Al 0.5000 0.5000 0.0000  6 F 1.83-1.86